1.
MnBeCd2 after structural relaxation, computed with PBE. Values from VASP.

Properties
Size of the total moment ... 0.706 μB per atom
Calculated volume ... 65.5 Å³ per cell
Energy ... -0.126 hartree per atom
Formation energy ... 1.00 eV per formula unit

Cell and atoms, written as Quantum ESPRESSO input:
```
&SYSTEM
  ibrav = 0, nat = 4, ntyp = 3
/
ATOMIC_SPECIES
Mn 54.94 Mn.upf
Be 9.01 Be.upf
Cd 112.41 Cd.upf
CELL_PARAMETERS angstrom
2.9110 0.0000 0.0000
0.0000 3.4055 0.0000
-1.4356 0.0000 6.6117
ATOMIC_POSITIONS crystal
Mn 0.0000 0.0000 0.0000
Be 0.5444 0.5000 0.0911
Cd 0.3566 0.5000 0.7077
Cd 0.6971 0.0000 0.3883
```


2.
MnBeCd after structural relaxation, computed with PBE. Values from VASP.

Properties
Size of the total moment ... 0.886 μB per atom
Calculated volume ... 41.4 Å³ per cell
Energy ... -0.160 hartree per atom
Formation energy ... 0.72 eV per formula unit
Offset from the most stable computed form ... 0 meV per atom

Cell and atoms, written as Quantum ESPRESSO input:
```
&SYSTEM
  ibrav = 0, nat = 3, ntyp = 3
/
ATOMIC_SPECIES
Mn 54.94 Mn.upf
Be 9.01 Be.upf
Cd 112.41 Cd.upf
CELL_PARAMETERS angstrom
-1.4010 1.4010 5.2788
1.4010 -1.4010 5.2788
1.4010 1.4010 -5.2788
ATOMIC_POSITIONS crystal
Mn 0.0000 0.0000 0.0000
Be 0.6194 0.6194 0.0000
Cd 0.2991 0.2991 0.0000
```